Below is crystalline RbCa2Pd at its relaxed geometry, with properties calculated at the PBE level.

```
4
Lattice="0.0000 3.9701 3.9701 3.9701 0.0000 3.9701 3.9701 3.9701 0.0000" Properties=species:S:1:pos:R:3 pbc="T T T"
Rb 0.0000 0.0000 0.0000
Ca 1.9851 1.9851 1.9851
Ca 5.9552 5.9552 5.9552
Pd 3.9701 3.9701 3.9701
```

Properties
**Space group**: Fm-3m, No. 225
**Formation enthalpy at 0 K**: 0.075 eV/atom
**Polymorph energy (0 for the lowest one)**: 0.303 eV/atom